Material: Tl2FeF
Method: DFT, GGA+U
State: relaxed

a = 4.751 Å, b = 4.751 Å, c = 9.385 Å
α = 75.34°, β = 75.34°, γ = 90.00°
Last column: magnetic moment on the atom in μB.
Element x y z (fractional)
Tl (0.151, 0.625, 0.250)  -0.02
Tl (0.875, 0.849, 0.750)  -0.01
Tl (0.375, 0.401, 0.750)  -0.01
Tl (0.599, 0.125, 0.250)  -0.02
F (0.250, 0.750, 0.500)  0.02
F (0.500, 0.500, 0.000)  0.01
Fe (0.750, 0.250, 0.500)  3.13
Fe (0.000, 0.000, 0.000)  3.13

Computed properties:
Fermi-level density of states ... 2.7 states/eV/cell
SG ... I-42d, No. 122
Excess energy over the best structure of this formula in the dataset ... 0 meV/atom
DFT total energy ... -3.199 eV/atom



Material: TlFeF6
Method: DFT, GGA+U
State: relaxed

a = 5.224 Å, b = 5.224 Å, c = 9.784 Å
α = 90.00°, β = 90.00°, γ = 120.00°
Last column: magnetic moment on the atom in μB.
Element x y z (fractional)
F (0.357, 0.036, 0.632)  0.07
F (0.322, 0.964, 0.132)  0.07
F (0.357, 0.322, 0.868)  0.07
F (0.643, 0.964, 0.368)  0.07
F (0.036, 0.357, 0.132)  0.07
F (0.036, 0.678, 0.368)  0.07
F (0.964, 0.643, 0.868)  0.07
F (0.322, 0.357, 0.368)  0.07
F (0.678, 0.643, 0.632)  0.07
F (0.964, 0.322, 0.632)  0.07
F (0.643, 0.678, 0.132)  0.07
F (0.678, 0.036, 0.868)  0.07
Tl (0.000, 0.000, 0.500)  0.03
Tl (0.000, 0.000, 0.000)  0.03
Fe (0.667, 0.333, 0.750)  4.46
Fe (0.333, 0.667, 0.250)  4.46

Computed properties:
Fermi-level density of states ... 0.0 states/eV/cell
SG ... P-31c, No. 163
DFT total energy ... -4.529 eV/atom



Material: TlFe2F7
Method: DFT, GGA+U
State: relaxed

a = 3.960 Å, b = 6.377 Å, c = 6.299 Å
α = 120.41°, β = 90.00°, γ = 90.00°
Last column: magnetic moment on the atom in μB.
Element x y z (fractional)
Fe (0.500, 0.312, 0.623)  4.48
Fe (0.500, 0.688, 0.377)  4.48
F (0.500, 0.659, 0.701)  0.13
F (0.500, 0.341, 0.299)  0.13
F (0.500, 0.500, 0.000)  0.14
F (0.000, 0.695, 0.389)  0.12
F (0.000, 0.305, 0.611)  0.12
F (0.500, 0.958, 0.299)  0.13
F (0.500, 0.042, 0.701)  0.13
Tl (0.000, 0.000, 0.000)  0.01

Computed properties:
Fermi-level density of states ... 0.0 states/eV/cell
SG ... Cmmm, No. 65
DFT total energy ... -4.960 eV/atom



Material: TlFe2F8
Method: DFT, GGA+U
State: relaxed

a = 5.753 Å, b = 5.303 Å, c = 5.303 Å
α = 74.99°, β = 98.42°, γ = 98.42°
Last column: magnetic moment on the atom in μB.
Element x y z (fractional)
Tl (0.000, 0.000, 0.000)  -0.35
F (0.643, 0.051, 0.669)  0.07
F (0.289, 0.439, 0.439)  0.14
F (0.357, 0.331, 0.949)  0.07
F (0.826, 0.224, 0.224)  0.02
F (0.643, 0.669, 0.051)  0.07
F (0.174, 0.776, 0.776)  0.02
F (0.711, 0.561, 0.561)  0.14
F (0.357, 0.949, 0.331)  0.07
Fe (0.450, 0.681, 0.681)  4.43
Fe (0.550, 0.319, 0.319)  4.43

Computed properties:
Fermi-level density of states ... 2.2 states/eV/cell
SG ... C2/m, No. 12
Excess energy over the best structure of this formula in the dataset ... 0 meV/atom
DFT total energy ... -4.767 eV/atom



Material: Tl2Fe3F10
Method: DFT, GGA+U
State: relaxed

a = 6.410 Å, b = 8.077 Å, c = 10.105 Å
α = 111.98°, β = 108.49°, γ = 90.00°
Last column: magnetic moment on the atom in μB.
Element x y z (fractional)
F (0.366, 0.471, 0.282)  0.13
F (0.134, 0.747, 0.269)  0.10
F (0.519, 0.178, 0.039)  0.05
F (0.975, 0.800, 0.949)  0.09
F (0.916, 0.471, 0.282)  0.13
F (0.084, 0.529, 0.718)  0.13
F (0.025, 0.200, 0.051)  0.09
F (0.236, 0.262, 0.472)  0.14
F (0.107, 0.982, 0.779)  0.10
F (0.866, 0.253, 0.731)  0.10
F (0.807, 0.500, 0.000)  0.10
F (0.328, 0.018, 0.221)  0.10
F (0.481, 0.822, 0.961)  0.05
F (0.500, 0.000, 0.500)  0.10
F (0.893, 0.018, 0.221)  0.10
F (0.000, 0.000, 0.500)  0.10
F (0.672, 0.982, 0.779)  0.10
F (0.764, 0.738, 0.528)  0.14
F (0.634, 0.529, 0.718)  0.13
F (0.193, 0.500, 0.000)  0.10
Tl (0.391, 0.284, 0.782)  0.00
Tl (0.609, 0.716, 0.218)  0.00
Tl (0.294, 0.670, 0.588)  0.01
Tl (0.706, 0.330, 0.412)  0.01
Fe (0.182, 0.013, 0.365)  4.47
Fe (0.818, 0.987, 0.635)  4.47
Fe (0.078, 0.467, 0.156)  4.44
Fe (0.253, 0.000, 0.000)  3.82
Fe (0.747, 0.000, 0.000)  3.82
Fe (0.922, 0.533, 0.844)  4.44

Computed properties:
SG ... C2/m, No. 12
DFT total energy ... -4.989 eV/atom



Material: Tl2FeF
Method: DFT, GGA+U
State: relaxed

a = 4.896 Å, b = 4.896 Å, c = 4.896 Å
α = 60.00°, β = 60.00°, γ = 60.00°
Last column: magnetic moment on the atom in μB.
Element x y z (fractional)
Tl (0.750, 0.750, 0.750)  -0.06
Tl (0.250, 0.250, 0.250)  -0.06
F (0.000, 0.000, 0.000)  -0.02
Fe (0.500, 0.500, 0.500)  3.38

Computed properties:
Fermi-level density of states ... 2.0 states/eV/cell
SG ... Fm-3m, No. 225
Excess energy over the best structure of this formula in the dataset ... 80 meV/atom
DFT total energy ... -3.120 eV/atom